Below is a relaxed AlTl2Os crystal, with properties calculated at the PBE level.

a b c (Å): 5.2279 5.2279 5.2279
angles (deg): 131.73 131.73 70.65
Fractional positions:
Al1 0.0000 0.0000 0.0000
Tl1 0.2500 0.7500 0.5000
Tl2 0.7500 0.2500 0.5000
Os1 0.5000 0.5000 0.0000

Values from the calculation:
The space-group type is I4/mmm (139). As for the formation energy: 785 meV/atom. For the energy above the most stable polymorph in this dataset, the calculation gives 545 meV per atom.

Below is a relaxed Nd6Si2AsI3 crystal, with properties calculated at the PBE level.

a b c (Å): 7.4872 7.4872 8.1155
angles (deg): 98.84 98.84 120.00
Fractional positions:
Nd1 0.0971 0.4347 0.8039
Nd2 0.2278 0.2278 0.1962
Nd3 0.4347 0.0971 0.8039
Nd4 0.5653 0.9029 0.1961
Nd5 0.7722 0.7722 0.8038
Nd6 0.9029 0.5653 0.1961
Si1 0.1666 0.8334 0.0000
Si2 0.8334 0.1666 0.0000
As1 0.5000 0.5000 0.0000
I1 0.0000 0.0000 0.5000
I2 0.3335 0.6665 0.5000
I3 0.6665 0.3335 0.5000

Values from the calculation:
The space-group type is C2/m (12). The uncorrected formation energy is -12.96 eV/f.u.

Below is a relaxed SmSc2Cu crystal, with properties calculated at the PBE level.

a b c (Å): 9.5315 9.5315 9.5315
angles (deg): 20.98 20.98 20.98
Fractional positions:
Sm1 0.0000 0.0000 0.0000
Sc1 0.5631 0.5631 0.5631
Sc2 0.7663 0.7663 0.7663
Cu1 0.1639 0.1639 0.1639

Values from the calculation:
The space-group type is R3m (160). As for the formation energy: 55 meV/atom. For the energy above the most stable polymorph in this dataset, the calculation gives 147 meV per atom.

Below is a relaxed Nd2Al2Cu3 crystal, with properties calculated at the PBE level.

a b c (Å): 7.2772 7.2772 7.2772
angles (deg): 109.47 109.47 109.47
Fractional positions:
Nd1 0.0000 0.5287 0.5000
Nd2 0.5000 0.0000 0.5287
Nd3 0.5287 0.5000 0.0000
Nd4 0.9713 0.9713 0.9713
Al1 0.0000 0.9408 0.5000
Al2 0.5000 0.0000 0.9408
Al3 0.5592 0.5592 0.5592
Al4 0.9408 0.5000 0.0000
Cu1 0.0402 0.2902 0.7500
Cu2 0.2098 0.2500 0.4598
Cu3 0.2500 0.4598 0.2098
Cu4 0.2902 0.7500 0.0402
Cu5 0.4598 0.2098 0.2500
Cu6 0.7500 0.0402 0.2902

Values from the calculation:
The space-group type is I2_13 (199). As for the formation energy: -123 meV/atom.

Below is a relaxed V2CuN crystal, with properties calculated at the PBE level.

a b c (Å): 4.9847 4.9847 4.9847
angles (deg): 107.97 107.97 112.52
Fractional positions:
V1 0.0481 0.6250 0.9231
V2 0.3750 0.2981 0.4231
V3 0.7019 0.1250 0.0769
V4 0.8750 0.9519 0.5769
Cu1 0.2500 0.7500 0.5000
Cu2 0.5000 0.5000 0.0000
N1 0.0000 0.0000 0.0000
N2 0.7500 0.2500 0.5000

Values from the calculation:
The space-group type is I-42d (122). The uncorrected formation energy is -0.50 eV/f.u.

Below is a relaxed SmEr5Cu4 crystal, with properties calculated at the PBE level.

a b c (Å): 3.4354 3.4354 19.0759
angles (deg): 90.00 90.00 90.00
Fractional positions:
Sm1 0.0000 0.0000 0.0000
Er1 0.5000 0.5000 0.1395
Er2 0.5000 0.5000 0.3186
Er3 0.5000 0.5000 0.5000
Er4 0.5000 0.5000 0.6814
Er5 0.5000 0.5000 0.8605
Cu1 0.0000 0.0000 0.2280
Cu2 0.0000 0.0000 0.4094
Cu3 0.0000 0.0000 0.5906
Cu4 0.0000 0.0000 0.7720

Values from the calculation:
The space-group type is P4/mmm (123). As for the formation energy: -214 meV/atom.

Below is a relaxed LiBiCl3 crystal, with properties calculated at the PBE level.

a b c (Å): 7.3599 7.3599 7.3599
angles (deg): 57.37 57.37 57.37
Fractional positions:
Li1 0.1636 0.1636 0.1636
Li2 0.8364 0.8364 0.8364
Bi1 0.4144 0.4144 0.4144
Bi2 0.5856 0.5856 0.5856
Cl1 0.0381 0.7948 0.4305
Cl2 0.2052 0.5695 0.9619
Cl3 0.4305 0.0381 0.7948
Cl4 0.5695 0.9619 0.2052
Cl5 0.7948 0.4305 0.0381
Cl6 0.9619 0.2052 0.5695

Values from the calculation:
The space-group type is R-3 (148). For the energy above the most stable polymorph in this dataset, the calculation gives 0 meV per atom. The uncorrected formation energy is -5.88 eV/f.u.

Below is a relaxed LiEr3Np4S8 crystal, with properties calculated at the PBE level.

a b c (Å): 7.7557 7.7557 7.7701
angles (deg): 119.82 119.82 59.90
Fractional positions:
Li1 0.0000 0.0000 0.0000
Er1 0.0000 0.5000 0.5000
Er2 0.5000 0.0000 0.5000
Er3 0.5000 0.5000 0.0000
Np1 0.0000 0.0000 0.5000
Np2 0.0000 0.5000 0.0000
Np3 0.5000 0.0000 0.0000
Np4 0.5000 0.5000 0.5000
S1 0.2442 0.2442 0.2472
S2 0.2442 0.7508 0.7541
S3 0.2492 0.7558 0.2459
S4 0.2520 0.2520 0.7496
S5 0.7480 0.7480 0.2504
S6 0.7508 0.2442 0.7541
S7 0.7558 0.2492 0.2459
S8 0.7558 0.7558 0.7528

Values from the calculation:
The space-group type is C2/m (12). The uncorrected formation energy is -25.37 eV/f.u.